(1)
First-principles (PBE) data for a relaxed structure of BaBeBr, as listed in the Alexandria database.

Structure (POSCAR):
```
BaBeBr
1.0
4.932 0.000 0.026
0.000 4.314 0.000
-3.425 0.000 11.437
Be Ba Br
2 2 2
Cartesian
1.899 0.000 9.415
3.611 2.157 3.696
1.139 0.000 4.128
-0.573 2.157 9.847
0.748 0.000 7.471
2.460 2.157 1.753
```

Output
The space group is Cm, No. 8. The energy is -15.70 eV/cell. As for the uncorrected formation energy: -17.02 kJ per mole of atoms.

(2)
First-principles (PBE) data for a relaxed structure of BaCa2BeBr, as listed in the Alexandria database.

Structure (POSCAR):
```
BaCa2BeBr
1.0
5.564 0.000 0.000
0.000 6.197 0.000
0.000 0.000 5.564
Be Ca Ba Br
1 2 1 1
Cartesian
2.782 3.099 2.782
0.000 0.000 2.782
2.782 0.000 0.000
0.000 3.099 0.000
0.000 0.000 0.000
```

Output
The space group is P4/mmm, No. 123. The energy is -10.80 eV/cell. As for the uncorrected formation energy: 10.13 kJ per mole of atoms.

(3)
First-principles (PBE) data for a relaxed structure of Ba2BeHBr, as listed in the Alexandria database.

Structure (POSCAR):
```
Ba2BeHBr
1.0
6.308 0.000 0.000
0.000 4.129 0.000
0.000 0.000 6.308
Be Ba Br H
1 2 1 1
Cartesian
3.154 2.064 3.154
0.000 0.000 3.154
3.154 0.000 0.000
0.000 0.000 0.000
0.000 2.064 0.000
```

Output
The space group is P4/mmm, No. 123. The energy is -11.78 eV/cell.

(4)
First-principles (PBE) data for a relaxed structure of Ba2BeHBr, as listed in the Alexandria database.

Structure (POSCAR):
```
Ba2BeHBr
1.0
5.960 0.000 0.000
0.000 5.047 0.000
0.000 0.000 5.960
Be Ba Br H
1 2 1 1
Cartesian
0.000 0.000 0.000
0.000 0.000 2.980
2.980 0.000 0.000
0.000 2.524 0.000
2.980 2.524 2.980
```

Output
The space group is P4/mmm, No. 123. The energy is -11.78 eV/cell.

(5)
First-principles (PBE) data for a relaxed structure of BaBe2HgBr6, as listed in the Alexandria database.

Structure (POSCAR):
```
BaBe2HgBr6
1.0
-3.490 -0.500 8.427
0.430 -9.111 0.510
10.133 3.781 0.903
Ba Be Hg Br
2 4 2 12
Cartesian
0.739 -3.279 5.229
6.334 -2.550 4.612
6.380 1.368 4.299
4.687 -2.952 8.159
0.693 -7.197 5.542
2.386 -2.877 1.682
2.646 -7.469 1.376
4.427 1.640 8.464
-0.138 -2.724 8.408
-0.104 -0.055 5.523
7.211 -3.105 1.432
7.177 -5.773 4.318
0.382 -2.472 2.051
1.961 -5.988 6.657
6.691 -3.357 7.790
5.112 0.159 3.183
3.434 -3.885 3.228
-0.328 -6.251 3.939
3.639 -1.944 6.613
7.400 0.422 5.902
```

Output
The space group is C2/c, No. 15. The energy is -63.31 eV/cell. As for the uncorrected formation energy: -115.21 kJ per mole of atoms.

(6)
First-principles (PBE) data for a relaxed structure of BaLa2BeBr, as listed in the Alexandria database.

Structure (POSCAR):
```
BaLa2BeBr
1.0
5.663 0.000 0.000
0.000 6.038 0.000
0.000 0.000 5.663
Be Ba Br La
1 1 1 2
Cartesian
2.832 3.019 2.832
0.000 3.019 0.000
0.000 0.000 0.000
0.000 0.000 2.832
2.832 0.000 0.000
```

Output
The space group is P4/mmm, No. 123. The energy is -16.35 eV/cell. As for the uncorrected formation energy: 15.88 kJ per mole of atoms.